1.
K2TeAsO6 after structural relaxation. Source: Alexandria via LeMat-Bulk, functional PBE.

abc: 5.6031 5.6031 5.6031
angles: 60.00 60.00 60.00
Atoms (fractional coordinates):
1 K 0.2500 0.2500 0.2500
2 K 0.7500 0.7500 0.7500
3 Te 0.0000 0.0000 0.0000
4 As 0.5000 0.5000 0.5000
5 O 0.2554 0.2554 0.7446
6 O 0.2554 0.7446 0.2554
7 O 0.2554 0.7446 0.7446
8 O 0.7446 0.2554 0.2554
9 O 0.7446 0.2554 0.7446
10 O 0.7446 0.7446 0.2554

Properties
Density: 5.0 g/cm3
Final energy: -5.1571 eV per atom
E_form (uncorrected): -1.1836 eV/atom
Total magnetization: 0.000 Bohr magnetons per cell

2.
K2TeAs2O6 after structural relaxation. Source: Alexandria via LeMat-Bulk, functional PBE.

abc: 6.8718 6.8718 6.5933
angles: 110.48 110.48 49.34
Atoms (fractional coordinates):
1 K 0.2224 0.2224 0.2265
2 K 0.7776 0.7776 0.7735
3 Te 0.0000 0.0000 0.5000
4 As 0.4892 0.4892 0.8045
5 As 0.5108 0.5108 0.1955
6 O 0.1907 0.6710 0.2239
7 O 0.3290 0.8093 0.7761
8 O 0.3460 0.3460 0.6510
9 O 0.6540 0.6540 0.3490
10 O 0.6710 0.1907 0.2239
11 O 0.8093 0.3290 0.7761

Properties
Density: 3.4 g/cm3
Final energy: -5.3137 eV per atom
E_form (uncorrected): -1.2787 eV/atom
Total magnetization: 0.000 Bohr magnetons per cell